Record 1
CaHfCo3: relaxed, GGA-PBE.

Lattice parameters (Å, degrees): 4.6383 4.6383 4.6383 90.00 90.00 90.00
Last column: nearest neighbours and their distance in Å.
Atoms (fractional coordinates):
Ca (0.0000, 0.0000, 0.0000)  12 Co 3.28
Hf (0.5000, 0.5000, 0.5000)  6 Co 2.32
Co (0.0000, 0.5000, 0.5000)  2 Hf 2.32
Co (0.5000, 0.0000, 0.5000)  2 Hf 2.32
Co (0.5000, 0.5000, 0.0000)  2 Hf 2.32

crystal system: cubic
excess energy over the best structure of this formula in the dataset: 0.000 eV per atom
raw total energy: -5.8639 eV per atom
magnetic moment: 1.5 μB per cell
Fermi-level density of states: 0.60 states/eV per atom
space-group type: Pm-3m, No. 221
ΔE_f: 0.79 eV per atom

Record 2
SnSeN2O: relaxed, GGA-PBE.

Lattice parameters (Å, degrees): 4.2449 4.2449 3.9483 90.00 90.00 90.00
Last column: nearest neighbours and their distance in Å.
Atoms (fractional coordinates):
Sn (0.0000, 0.0000, 0.0000)  2 O 1.97, 4 N 2.12
Se (0.5000, 0.5000, 0.5000)  8 N 2.90, 4 O 3.00
N (0.0000, 0.5000, 0.0000)  2 Sn 2.12
N (0.5000, 0.0000, 0.0000)  2 Sn 2.12
O (0.0000, 0.0000, 0.5000)  2 Sn 1.97

crystal system: tetragonal
raw total energy: -4.6402 eV per atom
magnetic moment: 0.9 μB per cell
Fermi-level density of states: 0.78 states/eV per atom
space-group type: P4/mmm, No. 123

Record 3
TaVS3: relaxed, GGA-PBE.

Lattice parameters (Å, degrees): 4.7719 4.7719 4.7719 90.00 90.00 90.00
Last column: nearest neighbours and their distance in Å.
Atoms (fractional coordinates):
Ta (0.0000, 0.0000, 0.0000)  6 S 2.39
V (0.5000, 0.5000, 0.5000)  12 S 3.37
S (0.0000, 0.0000, 0.5000)  2 Ta 2.39
S (0.0000, 0.5000, 0.0000)  2 Ta 2.39
S (0.5000, 0.0000, 0.0000)  2 Ta 2.39

crystal system: cubic
excess energy over the best structure of this formula in the dataset: 0.747 eV per atom
raw total energy: -6.6864 eV per atom
magnetic moment: 3.5 μB per cell
Fermi-level density of states: 1.69 states/eV per atom
space-group type: Pm-3m, No. 221

Record 4
PrPt2Pb4: relaxed, GGA-PBE.

Lattice parameters (Å, degrees): 9.9162 9.9162 4.1629 90.00 90.00 152.40
Last column: nearest neighbours and their distance in Å.
Atoms (fractional coordinates):
Pr (0.0000, 0.0000, 0.0000)  8 Pt 3.41, 4 Pb 3.60
Pt (0.4322, 0.5678, 0.5000)  1 Pt 2.61, 2 Pb 2.87
Pt (0.5678, 0.4322, 0.5000)  1 Pt 2.61, 2 Pb 2.87
Pb (0.1523, 0.8477, 0.5000)  2 Pt 2.87, 4 Pb 3.20
Pb (0.3190, 0.6810, 0.0000)  2 Pt 3.01, 4 Pb 3.20
Pb (0.6810, 0.3190, 0.0000)  2 Pt 3.01, 4 Pb 3.20
Pb (0.8477, 0.1523, 0.5000)  2 Pt 2.87, 4 Pb 3.20

crystal system: orthorhombic
raw total energy: -4.8121 eV per atom
magnetic moment: 0.0 μB per cell
Fermi-level density of states: 0.59 states/eV per atom
space-group type: Cmmm, No. 65
ΔE_f: -0.28 eV per atom

Record 5
Ir4OsCl: relaxed, GGA-PBE.

Lattice parameters (Å, degrees): 5.1859 5.1859 5.1859 60.00 60.00 60.00
Last column: nearest neighbours and their distance in Å.
Atoms (fractional coordinates):
Ir (0.1247, 0.1247, 0.1247)  6 Ir 2.59-2.60
Ir (0.1247, 0.1247, 0.6258)  6 Ir 2.59-2.60
Ir (0.1247, 0.6258, 0.1247)  6 Ir 2.59-2.60
Ir (0.6258, 0.1247, 0.1247)  6 Ir 2.59-2.60
Os (0.7500, 0.7500, 0.7500)  12 Ir 3.04, 4 Cl 3.18
Cl (0.5000, 0.5000, 0.5000)  12 Ir 3.04, 4 Os 3.18

crystal system: cubic
raw total energy: -6.8355 eV per atom
magnetic moment: 0.7 μB per cell
Fermi-level density of states: 1.70 states/eV per atom
space-group type: F-43m, No. 216

Record 6
Rb3InGe2Br9: relaxed, GGA-PBE.

Lattice parameters (Å, degrees): 7.9360 7.9360 9.7456 90.00 90.00 120.00
Last column: nearest neighbours and their distance in Å.
Atoms (fractional coordinates):
Rb (0.0000, 0.0000, 0.0000)  12 Br 3.95-3.97
Rb (0.3333, 0.6667, 0.6787)  12 Br 3.88-4.10
Rb (0.6667, 0.3333, 0.3213)  12 Br 3.88-4.10
In (0.0000, 0.0000, 0.5000)  6 Br 2.87
Ge (0.3333, 0.6667, 0.1651)  6 Br 2.75-2.80
Ge (0.6667, 0.3333, 0.8349)  6 Br 2.75-2.80
Br (0.0000, 0.5000, 0.0000)  2 Ge 2.80
Br (0.1693, 0.3385, 0.3270)  1 Ge 2.75, 1 In 2.87
Br (0.1693, 0.8307, 0.3270)  1 Ge 2.75, 1 In 2.87
Br (0.3385, 0.1693, 0.6730)  1 Ge 2.75, 1 In 2.87
Br (0.5000, 0.0000, 0.0000)  2 Ge 2.80
Br (0.5000, 0.5000, 0.0000)  2 Ge 2.80
Br (0.6615, 0.8307, 0.3270)  1 Ge 2.75, 1 In 2.87
Br (0.8307, 0.1693, 0.6730)  1 Ge 2.75, 1 In 2.87
Br (0.8307, 0.6615, 0.6730)  1 Ge 2.75, 1 In 2.87

crystal system: trigonal
raw total energy: -3.0685 eV per atom
magnetic moment: 0.0 μB per cell
Fermi-level density of states: 0.28 states/eV per atom
space-group type: P-3m1, No. 164

Which value of Fermi-level density of states does entry 3 give? 1.69 states/eV per atom

The highest magnetic moment belongs to which entry? TaVS3

What is the formula in the sixth record? Rb3InGe2Br9